A relaxed structure of Pm2Nd3Dy6Ho, computed with PBE-GGA.

```
12
Lattice="6.231 0.000 0.007 -3.114 5.397 0.007 -1.049 -1.816 11.672" Properties=species:S:1:pos:R:3 pbc="T T T"
Pm 0.003 3.597 0.007
Pm 3.114 1.800 0.007
Nd -2.081 3.589 5.843
Nd 4.149 -0.008 5.843
Nd 1.034 1.790 5.843
Dy 3.106 1.787 8.786
Dy 2.078 3.598 2.911
Dy -1.038 1.793 2.901
Dy -0.004 3.584 8.786
Dy -0.010 -0.017 8.775
Dy 2.072 -0.003 2.901
Ho 0.000 0.000 0.000
```

Magnetic moment (Bohr magnetons per cell): 0.0
Calculated formation energy (eV per atom): 0.01
SG: C2/m, No. 12